The following is a DFT calculation (PBE) of an optimized crystal structure of ScInSi2Mo.

## Properties
Magnetization = 3.62 μB/f.u.
Raw formation energy = 1352 meV/atom

Cell lengths 4.916, 4.916, 5.292 Å; angles 90.00, 90.00, 90.00 degrees
Space group P4/mmm (No. 123)
Unique sites:
Sc: 0.000 0.000 0.000 [1 per cell]
In: 0.000 0.000 0.500 [1 per cell]
Si: 0.000 0.500 0.000 [2 per cell]
Mo: 0.500 0.500 0.500 [1 per cell]

---

The following is a DFT calculation (PBE) of an optimized crystal structure of SbAsIr2.

## Properties
Energy above the lowest structure with this stoichiometry = 454 meV per atom
Magnetization = 0.00 μB/f.u.
Raw formation energy = 296 meV/atom

Cell lengths 6.102, 7.124, 3.138 Å; angles 90.00, 90.00, 90.00 degrees
Space group Cmmm (No. 65)
Unique sites:
Sb: 0.000 0.000 0.000 [2 per cell]
As: 0.000 0.500 0.000 [2 per cell]
Ir: 0.250 0.250 0.500 [4 per cell]

---

The following is a DFT calculation (PBE) of an optimized crystal structure of Na4Ho3ThSe8.

## Properties
Magnetization = 0.00 μB/f.u.
Raw formation energy = -1641 meV/atom

Cell lengths 8.2782, 8.2782, 21.1212 Å; angles 90.00, 90.00, 120.00 degrees
Space group R-3m (No. 166, hexagonal axes)
Unique sites:
Na: 0.0000 0.0000 0.0000 [3 per cell]
Na: 0.0000 0.5000 0.0000 [9 per cell]
Ho: 0.0000 0.5000 0.5000 [9 per cell]
Th: 0.0000 0.0000 0.5000 [3 per cell]
Se: 0.0000 0.0000 0.2430 [6 per cell]
Se: 0.0049 0.5024 0.7553 [18 per cell]

---

The following is a DFT calculation (PBE) of an optimized crystal structure of BaCd3Pt.

## Properties
Energy above the lowest structure with this stoichiometry = 42 meV per atom
ΔH_f (0 K) = -0.362 eV/atom
Magnetization = 0.00 μB/f.u.

Cell lengths 5.293, 5.293, 5.293 Å; angles 90.00, 90.00, 90.00 degrees
Space group Pm-3m (No. 221)
Unique sites:
Ba: 0.000 0.000 0.000 [1 per cell]
Cd: 0.000 0.500 0.500 [3 per cell]
Pt: 0.500 0.500 0.500 [1 per cell]

---

Q: Which calculated volume values were calculated for the entries above? A: 25.58, 17.05, 26.11, 29.66, in Å³/atom.